# 1
The following is a DFT calculation (PBE) of a relaxed Nd2Sm3Y6Pu crystal.

Cell lengths 6.233, 6.233, 11.818 Å; angles 95.05, 95.05, 120.03 degrees
Site moments in Bohr magnetons follow the coordinates.
Sites, in units of the cell vectors:
Nd 0.333 0.667 0.000  0.02
Nd 0.667 0.333 0.000  0.02
Sm 0.167 0.833 0.500  -0.02
Sm 0.833 0.167 0.500  -0.02
Sm 0.500 0.500 0.500  -0.02
Y 0.917 0.588 0.752  0.03
Y 0.753 0.753 0.249  0.03
Y 0.083 0.412 0.248  0.03
Y 0.588 0.917 0.752  0.03
Y 0.247 0.247 0.751  0.03
Y 0.412 0.083 0.248  0.03
Pu 0.000 0.000 0.000  5.58

Results
DFT total energy	-6.355	eV per atom
space group	C2/m, No. 12
density of states at the Fermi level	23.9	states/eV/cell
density	6.44	g cm⁻³
ΔH_f (0 K)	45	meV/atom
total moment	6.42	μB per cell

***

# 2
The following is a DFT calculation (PBE) of a relaxed RbTl2PbF6 crystal.

Cell lengths 6.571, 7.069, 9.568 Å; angles 90.00, 88.72, 90.00 degrees
Site moments in Bohr magnetons follow the coordinates.
Sites, in units of the cell vectors:
Rb 0.500 0.000 0.000  0.00
Rb 0.000 0.500 0.500  0.00
Tl 0.010 0.958 0.264  0.01
Tl 0.510 0.542 0.764  0.01
Tl 0.990 0.042 0.736  0.01
Tl 0.490 0.458 0.236  0.01
Pb 0.500 0.000 0.500  0.23
Pb 0.000 0.500 0.000  0.23
F 0.302 0.654 0.034  0.08
F 0.802 0.846 0.534  0.08
F 0.698 0.346 0.966  0.08
F 0.198 0.154 0.466  0.08
F 0.346 0.734 0.417  0.08
F 0.846 0.766 0.917  0.08
F 0.654 0.266 0.583  0.08
F 0.154 0.234 0.083  0.08
F 0.880 0.574 0.221  0.07
F 0.380 0.926 0.721  0.07
F 0.120 0.426 0.779  0.07
F 0.620 0.074 0.279  0.07

Results
DFT total energy	-4.174	eV per atom
space group	P2_1/c, No. 14
density of states at the Fermi level	7.1	states/eV/cell
density	6.09	g cm⁻³
formation energy (no corrections)	-2.1105	eV/atom
total moment	1.54	μB per cell

***

# 3
The following is a DFT calculation (PBE) of a relaxed CaBePt2 crystal.

Cell lengths 4.926, 4.926, 8.145 Å; angles 72.40, 72.40, 90.00 degrees
Sites, in units of the cell vectors:
Be 0.500 0.500 0.000
Be 0.250 0.750 0.500
Ca 0.000 0.000 0.000
Ca 0.750 0.250 0.500
Pt 0.431 0.125 0.250
Pt 0.319 0.625 0.250
Pt 0.375 0.569 0.750
Pt 0.875 0.681 0.750

Results
DFT total energy	-4.914	eV per atom
space group	I-42d, No. 122
density of states at the Fermi level	3.0	states/eV/cell
density	8.17	g cm⁻³
ΔH_f (0 K)	-462	meV/atom
total moment	0.00	μB per cell

***

# 4
The following is a DFT calculation (PBE) of a relaxed DyScCu crystal.

Cell lengths 8.408, 8.522, 8.522 Å; angles 52.03, 60.44, 60.44 degrees
Sites, in units of the cell vectors:
Dy 0.149 0.044 0.544
Dy 0.736 0.956 0.456
Dy 0.357 0.749 0.249
Dy 0.355 0.251 0.751
Dy 0.736 0.457 0.957
Dy 0.149 0.543 0.043
Sc 0.024 0.000 0.000
Sc 0.024 0.500 0.500
Sc 0.751 0.376 0.377
Sc 0.505 0.624 0.623
Sc 0.505 0.123 0.124
Sc 0.751 0.877 0.876
Cu 0.773 0.251 0.751
Cu 0.774 0.749 0.249
Cu 0.075 0.167 0.169
Cu 0.411 0.833 0.831
Cu 0.411 0.331 0.333
Cu 0.075 0.669 0.667

Results
DFT total energy	-5.094	eV per atom
offset from the most stable computed form	64	meV/atom
space group	Ima2, No. 46
density of states at the Fermi level	26.1	states/eV/cell
density	6.71	g cm⁻³
ΔH_f (0 K)	-84	meV/atom
total moment	0.03	μB per cell

***

# 5
The following is a DFT calculation (PBE) of a relaxed Sb2AuSe crystal.

Cell lengths 8.018, 8.018, 8.018 Å; angles 152.64, 152.20, 39.40 degrees
Sites, in units of the cell vectors:
Au 0.231 0.731 0.500
Sb 0.959 0.959 0.000
Sb 0.781 0.281 0.500
Se 0.529 0.529 0.000

Results
DFT total energy	-3.679	eV per atom
space group	Imm2, No. 44
density of states at the Fermi level	1.1	states/eV/cell
density	7.82	g cm⁻³
formation energy (no corrections)	0.0723	eV/atom
total moment	0.00	μB per cell

***

# 6
The following is a DFT calculation (PBE) of a relaxed CsSi3Sb crystal.

Cell lengths 5.541, 5.541, 5.541 Å; angles 90.00, 90.00, 90.00 degrees
Sites, in units of the cell vectors:
Cs 0.000 0.000 0.000
Sb 0.500 0.500 0.500
Si 0.000 0.500 0.000
Si 0.000 0.000 0.500
Si 0.500 0.000 0.000

Results
DFT total energy	-2.037	eV per atom
offset from the most stable computed form	1251	meV/atom
space group	Pm-3m, No. 221
density of states at the Fermi level	5.7	states/eV/cell
density	3.31	g cm⁻³
formation energy (no corrections)	2.2124	eV/atom
total moment	0.00	μB per cell

***

# 7
The following is a DFT calculation (PBE) of a relaxed SrTb2SbN4 crystal.

Cell lengths 3.685, 6.323, 12.068 Å; angles 90.00, 90.00, 106.94 degrees
Sites, in units of the cell vectors:
Sr 0.105 0.209 0.750
Sr 0.895 0.791 0.250
Tb 0.372 0.743 0.534
Tb 0.628 0.257 0.034
Tb 0.628 0.257 0.466
Tb 0.372 0.743 0.966
Sb 0.842 0.684 0.750
Sb 0.158 0.316 0.250
N 0.263 0.526 0.119
N 0.737 0.474 0.619
N 0.737 0.474 0.881
N 0.263 0.526 0.381
N 0.000 0.000 0.500
N 0.000 0.000 0.000
N 0.425 0.850 0.750
N 0.575 0.150 0.250

Results
DFT total energy	-6.812	eV per atom
space group	Cmcm, No. 63
density of states at the Fermi level	1.2	states/eV/cell
density	7.20	g cm⁻³
formation energy (no corrections)	-0.7667	eV/atom
total moment	0.00	μB per cell

***

# 8
The following is a DFT calculation (PBE) of a relaxed K2BaMo crystal.

Cell lengths 6.410, 6.410, 6.410 Å; angles 60.00, 60.00, 60.00 degrees
Site moments in Bohr magnetons follow the coordinates.
Sites, in units of the cell vectors:
K 0.250 0.250 0.250  -0.01
K 0.750 0.750 0.750  -0.01
Mo 0.000 0.000 0.000  3.61
Ba 0.500 0.500 0.500  -0.10

Results
DFT total energy	-2.527	eV per atom
offset from the most stable computed form	228	meV/atom
space group	Fm-3m, No. 225
density of states at the Fermi level	5.0	states/eV/cell
density	2.78	g cm⁻³
ΔH_f (0 K)	1210	meV/atom
total moment	4.22	μB per cell

***

| no. | calculated volume (Å³ per cell) |
| --- | --- |
| 1 | 391.2 |
| 2 | 444.3 |
| 3 | 178.6 |
| 4 | 402.3 |
| 5 | 110.3 |
| 6 | 170.2 |
| 7 | 269.0 |
| 8 | 186.2 |